1.
DFT (PBE) results for CeNF after structural relaxation.

Lattice parameters (Å, degrees): 3.378 3.378 10.075 90.00 90.00 90.00
Fractional coordinates of all 6 atoms:
Ce (0.000, 0.000, 0.000)
Ce (0.500, 0.500, 0.500)
N (0.000, 0.000, 0.493)
N (0.500, 0.500, 0.993)
F (0.000, 0.000, 0.209)
F (0.500, 0.500, 0.709)

Computed properties:
Its final energy is -44.091 eV/cell. Its symmetry is I4mm (107). The density comes out at 5.00 g/cm3. The calculation puts the size of the total moment at 0.000 μB per cell. For the formation energy from raw total energies, the calculation gives -1.972 eV/atom.

***

2.
DFT (PBE) results for MgFe2Ag after structural relaxation.

Lattice parameters (Å, degrees): 3.026 4.566 8.759 90.00 90.00 90.00
Fractional coordinates of all 8 atoms:
Mg (0.000, 0.000, 0.000)
Mg (0.500, 0.500, 0.500)
Fe (0.000, 0.000, 0.530)
Fe (0.000, 0.500, 0.233)
Fe (0.500, 0.000, 0.733)
Fe (0.500, 0.500, 0.030)
Ag (0.000, 0.500, 0.769)
Ag (0.500, 0.000, 0.269)

Computed properties:
Its density of states at the Fermi level is 4.8 states/eV per cell. Its final energy is -40.734 eV/cell. Its symmetry is Imm2 (44). The density comes out at 6.69 g/cm3. Its formation energy is 0.251 eV/atom. The calculation puts the size of the total moment at 9.826 μB per cell.

***

3.
DFT (PBE) results for CuGeO3 after structural relaxation.

Lattice parameters (Å, degrees): 12.331 3.024 4.342 90.00 90.00 90.00
Fractional coordinates of all 10 atoms:
Cu (0.000, 0.000, 0.000)
Cu (0.500, 0.000, 0.000)
Ge (0.250, 0.000, 0.072)
Ge (0.750, 0.000, 0.928)
O (0.131, 0.000, 0.839)
O (0.250, 0.500, 0.294)
O (0.369, 0.000, 0.839)
O (0.631, 0.000, 0.161)
O (0.750, 0.500, 0.706)
O (0.869, 0.000, 0.161)

Computed properties:
Its density of states at the Fermi level is 6.1 states/eV per cell. Its final energy is -56.074 eV/cell. Its symmetry is Pmma (51). The density comes out at 3.78 g/cm3. The calculation puts the size of the total moment at 2.055 μB per cell. For the formation energy from raw total energies, the calculation gives -0.890 eV/atom.

***

4.
DFT (PBE) results for La2ReRu after structural relaxation.

Lattice parameters (Å, degrees): 6.340 9.265 3.181 90.00 113.76 90.00
Fractional coordinates of all 8 atoms:
La (0.250, 0.250, 0.000)
La (0.250, 0.750, 0.000)
La (0.750, 0.250, 0.000)
La (0.750, 0.750, 0.000)
Re (0.000, 0.000, 0.500)
Re (0.500, 0.500, 0.500)
Ru (0.000, 0.500, 0.500)
Ru (0.500, 0.000, 0.500)

Computed properties:
Its density of states at the Fermi level is 7.1 states/eV per cell. Its final energy is -59.386 eV/cell. The excess energy over the best structure of this formula in the dataset is 176 kJ/mol of formula units. Its symmetry is C2/m (12). The density comes out at 10.97 g/cm3. Its formation energy is 0.471 eV/atom. The calculation puts the size of the total moment at 0.000 μB per cell.

***

Q: The highest final energy belongs to which entry?
A: MgFe2Ag

***

Please write out number 2 again, unchanged.
DFT (PBE) results for MgFe2Ag after structural relaxation.

Lattice parameters (Å, degrees): 3.026 4.566 8.759 90.00 90.00 90.00
Fractional coordinates of all 8 atoms:
Mg (0.000, 0.000, 0.000)
Mg (0.500, 0.500, 0.500)
Fe (0.000, 0.000, 0.530)
Fe (0.000, 0.500, 0.233)
Fe (0.500, 0.000, 0.733)
Fe (0.500, 0.500, 0.030)
Ag (0.000, 0.500, 0.769)
Ag (0.500, 0.000, 0.269)

Computed properties:
Its density of states at the Fermi level is 4.8 states/eV per cell. Its final energy is -40.734 eV/cell. Its symmetry is Imm2 (44). The density comes out at 6.69 g/cm3. Its formation energy is 0.251 eV/atom. The calculation puts the size of the total moment at 9.826 μB per cell.